Entry i
## Y2MgTl2 (GGA-PBE)

Data for a geometry-optimized Y2MgTl2 structure.

Summary:
**N(E_F)**: 6.66 states/eV/cell
**Size of the total moment**: 0.00 μB per cell

The structure in extended XYZ format:
```
10
Lattice="7.7897 0.0000 0.0000 0.0000 7.7897 0.0000 0.0000 0.0000 4.5157" Properties=species:S:1:pos:R:3 pbc="T T T"
Y 1.3084 2.5864 0.0000
Y 2.5864 6.4812 0.0000
Y 5.2033 1.3084 0.0000
Y 6.4812 5.2033 0.0000
Mg 0.0000 0.0000 2.2578
Mg 3.8948 3.8948 2.2578
Tl 1.0731 4.9680 2.2578
Tl 2.8217 1.0731 2.2578
Tl 4.9680 6.7166 2.2578
Tl 6.7166 2.8217 2.2578
```

---

Entry ii
## Y2MgTl2 (GGA-PBE)

Data for a geometry-optimized Y2MgTl2 structure.

Summary:
**N(E_F)**: 9.91 states/eV/cell
**Size of the total moment**: 0.00 μB per cell

The structure in extended XYZ format:
```
10
Lattice="8.7117 0.0000 0.0000 0.0000 8.7117 0.0000 0.0000 0.0000 3.8389" Properties=species:S:1:pos:R:3 pbc="T T T"
Y 1.3281 3.0278 0.0000
Y 3.0278 7.3836 0.0000
Y 5.6840 1.3281 0.0000
Y 7.3836 5.6840 0.0000
Mg 0.0000 0.0000 0.0000
Mg 4.3559 4.3559 0.0000
Tl 1.3291 5.6850 1.9195
Tl 3.0268 1.3291 1.9195
Tl 5.6850 7.3826 1.9195
Tl 7.3826 3.0268 1.9195
```

---

Entry iii
## Y2MgTl2 (GGA-PBE)

Data for a geometry-optimized Y2MgTl2 structure.

Summary:
**N(E_F)**: 5.45 states/eV/cell
**Size of the total moment**: 0.00 μB per cell

The structure in extended XYZ format:
```
5
Lattice="-2.1710 2.1710 8.1986 2.1710 -2.1710 8.1986 2.1710 2.1710 -8.1986" Properties=species:S:1:pos:R:3 pbc="T T T"
Y 0.0000 0.0000 1.6745
Y 0.0000 0.0000 14.7228
Mg 0.0000 0.0000 8.1986
Tl 2.1710 0.0000 4.0993
Tl 0.0000 2.1710 4.0993
```

---

Ordering by calculated energy gives the sequence entry i, entry ii, entry iii, with the first entry being the most stable.

---

Entry i
## Y6MgTl (GGA-PBE)

Data for a geometry-optimized Y6MgTl structure.

Summary:
**N(E_F)**: 10.07 states/eV/cell
**Size of the total moment**: 0.00 μB per cell

The structure in extended XYZ format:
```
8
Lattice="-2.5364 2.5364 9.3577 2.5364 -2.5364 9.3577 2.5364 2.5364 -9.3577" Properties=species:S:1:pos:R:3 pbc="T T T"
Y 2.5364 0.0000 2.1510
Y 0.0000 0.0000 4.6370
Y 2.5364 0.0000 7.2067
Y 0.0000 2.5364 2.1510
Y 0.0000 0.0000 14.0784
Y 0.0000 2.5364 7.2067
Mg 0.0000 0.0000 0.0000
Tl 0.0000 0.0000 9.3577
```

---

Entry ii
## Y6MgTl (GGA-PBE)

Data for a geometry-optimized Y6MgTl structure.

Summary:
**N(E_F)**: 7.06 states/eV/cell
**Size of the total moment**: 0.00 μB per cell

The structure in extended XYZ format:
```
8
Lattice="4.4419 2.5645 3.5078 -4.4419 2.5645 3.5078 0.0000 -5.1290 3.5078" Properties=species:S:1:pos:R:3 pbc="T T T"
Y -3.2713 -0.7388 4.5582
Y -0.9958 -3.2024 5.9653
Y -2.2755 2.4636 5.9653
Y 2.2755 -2.4636 4.5582
Y 0.9958 3.2024 4.5582
Y 3.2713 0.7388 5.9653
Mg 0.0000 0.0000 5.2617
Tl 0.0000 0.0000 0.0000
```

---

Ordering by calculated energy gives the sequence entry i, entry ii, with the first entry being the most stable.